Entry from the Alexandria database: crystalline CdAgPt2 at its relaxed geometry (GGA-PBEsol).

Magnetization (μB per formula unit): 0.00
Energy (Ry/atom): -0.347
Space-group type: Pmm2
Volume (Å³ per atom): 16.1

a b c (Å): 2.8112 4.0199 5.7058
angles (deg): 90.00 90.00 90.00
Last column: nearest neighbours and their distance in Å.
Atoms (fractional coordinates):
Cd1 0.5000 0.5000 0.7544  2 Cd 2.81, 6 Pt 2.82-2.88, 4 Ag 2.87
Pt1 0.0000 0.0000 0.0041  2 Ag 2.79-2.92, 6 Pt 2.81-2.82, 4 Cd 2.84
Ag1 0.0000 0.0000 0.4927  6 Pt 2.79-2.92, 2 Ag 2.81, 4 Cd 2.87
Pt2 0.5000 0.5000 0.2488  6 Pt 2.81-2.82, 4 Ag 2.82, 2 Cd 2.82-2.88